1.
A plane-wave DFT calculation with PBE was carried out for an optimized crystal structure of V2CoRu.

abc: 4.1689 2.9822 8.3415
angles: 90.00 90.00 90.00
With the nearest neighbours (Å) after each atom.
Space group Pmma (No. 51)
Unique sites:
V (0.2500, 0.0000, 0.1157) x2  6 Co 2.50-2.56, 2 Ru 2.61
V (0.2500, 0.0000, 0.6339) x2  2 Co 2.50, 6 Ru 2.56-2.64
Co (0.2500, 0.5000, 0.8751) x2  8 V 2.50-2.56
Ru (0.2500, 0.5000, 0.3727) x2  8 V 2.56-2.64

Calculated values
Its energy is -8.821 eV/atom. The calculation puts the density of states at the Fermi level at 0.777 states/eV/atom. The formation energy is -0.1663 eV per atom.

***

2.
A plane-wave DFT calculation with PBE was carried out for an optimized crystal structure of LaTm2Be.

abc: 3.4272 3.4272 8.9070
angles: 90.00 90.00 90.00
With the nearest neighbours (Å) after each atom.
Space group P4/mmm (No. 123)
Unique sites:
La (0.0000, 0.0000, 0.0000) x1  4 La 3.43, 8 Tm 3.72
Tm (0.5000, 0.5000, 0.3175) x2  4 Be 2.92, 1 Tm 3.25
Be (0.0000, 0.0000, 0.5000) x1  8 Tm 2.92

Calculated values
Its energy is -4.337 eV/atom. For the excess energy over the best structure of this formula in the dataset, the calculation gives 0.00 eV per formula unit. The calculation puts the density of states at the Fermi level at 0.992 states/eV/atom. The formation energy is 0.0620 eV per atom.

***

3.
A plane-wave DFT calculation with PBE was carried out for an optimized crystal structure of In2SnAu.

abc: 3.4046 3.4046 30.7882
angles: 90.00 90.00 120.00
With the nearest neighbours (Å) after each atom.
Space group R-3m (No. 166, hexagonal axes)
Unique sites:
In (0.0000, 0.0000, 0.0982) x6  3 Au 2.88, 1 Sn 3.02
Sn (0.0000, 0.0000, 0.0000) x3  2 In 3.02
Au (0.0000, 0.0000, 0.5000) x3  6 In 2.88

Calculated values
Its energy is -3.222 eV/atom. The calculation puts the density of states at the Fermi level at 0.498 states/eV/atom. The formation energy is -0.0324 eV per atom.

***

4.
A plane-wave DFT calculation with PBE was carried out for an optimized crystal structure of Sc3NbO.

abc: 5.0280 5.0280 5.0280
angles: 90.00 90.00 90.00
With the nearest neighbours (Å) after each atom.
Space group Pm-3m (No. 221)
Unique sites:
Sc (0.0000, 0.0000, 0.5000) x3  2 Nb 2.51
Nb (0.0000, 0.0000, 0.0000) x1  6 Sc 2.51
O (0.5000, 0.5000, 0.5000) x1  12 Sc 3.56

Calculated values
Its energy is -5.943 eV/atom. For the excess energy over the best structure of this formula in the dataset, the calculation gives 9.76 eV per formula unit. The calculation puts the density of states at the Fermi level at 0.334 states/eV/atom. Its uncorrected formation energy is 0.86 eV per atom.

***

5.
A plane-wave DFT calculation with PBE was carried out for an optimized crystal structure of Al2CoIr.

abc: 2.9039 4.6415 8.3941
angles: 90.00 90.00 90.00
With the nearest neighbours (Å) after each atom.
Space group Cmm2 (No. 35)
Unique sites:
Al (0.0000, 0.0000, 0.0000) x2  2 Co 2.38
Al (0.0000, 0.5000, 0.2793) x2  2 Ir 2.48, 6 Al 2.74-2.76
Co (0.0000, 0.5000, 0.7751) x2  2 Al 2.38, 2 Ir 2.59
Ir (0.0000, 0.0000, 0.5195) x2  2 Al 2.48, 2 Co 2.59, 4 Ir 2.74

Calculated values
Its energy is -5.882 eV/atom. For the excess energy over the best structure of this formula in the dataset, the calculation gives 3.06 eV per formula unit. The calculation puts the density of states at the Fermi level at 1.174 states/eV/atom. The formation energy is -0.0193 eV per atom.

***

6.
A plane-wave DFT calculation with PBE was carried out for an optimized crystal structure of InSi23.

abc: 10.2419 10.2419 10.2419
angles: 90.00 90.00 90.00
With the nearest neighbours (Å) after each atom.
Space group Pm-3n (No. 223)
Unique sites:
In (0.0000, 0.0000, 0.0000) x2  20 Si 3.26-3.38
Si (0.0000, 0.1172, 0.3082) x24  4 Si 2.37-2.40
Si (0.0000, 0.2500, 0.5000) x6  4 Si 2.39
Si (0.1835, 0.1835, 0.1835) x16  4 Si 2.36-2.37

Calculated values
Its energy is -5.229 eV/atom. The calculation puts the density of states at the Fermi level at 0.148 states/eV/atom. Its uncorrected formation energy is 0.08 eV per atom.

***

7.
A plane-wave DFT calculation with PBE was carried out for an optimized crystal structure of ZrSc4Pb2.

abc: 4.8920 4.8920 15.9875
angles: 90.00 90.00 90.00
With the nearest neighbours (Å) after each atom.
Space group I4/mmm (No. 139)
Unique sites:
Zr (0.0000, 0.0000, 0.0000) x2  4 Sc 2.45
Sc (0.0000, 0.0000, 0.1796) x4  1 Zr 2.87, 1 Pb 2.96
Sc (0.0000, 0.5000, 0.0000) x4  2 Zr 2.45
Pb (0.0000, 0.0000, 0.3649) x4  5 Sc 2.96-3.26

Calculated values
Its energy is -5.523 eV/atom. The calculation puts the density of states at the Fermi level at 1.173 states/eV/atom. The formation energy is 0.3753 eV per atom.

***

8.
A plane-wave DFT calculation with PBE was carried out for an optimized crystal structure of BaCaTeN2.

abc: 4.7390 4.7390 7.0704
angles: 90.00 90.00 90.00
With the nearest neighbours (Å) after each atom.
Space group P4/mmm (No. 123)
Unique sites:
Ba (0.0000, 0.0000, 0.0000) x1  4 N 2.37
Ca (0.5000, 0.5000, 0.5000) x1  4 Te 3.35
Te (0.0000, 0.0000, 0.5000) x1  4 Ca 3.35, 2 Ba 3.54
N (0.0000, 0.5000, 0.0000) x2  2 Ba 2.37

Calculated values
Its energy is -3.998 eV/atom. For the excess energy over the best structure of this formula in the dataset, the calculation gives 2.17 eV per formula unit. The calculation puts the density of states at the Fermi level at 0.687 states/eV/atom. Its uncorrected formation energy is 0.74 eV per atom.

***

9.
A plane-wave DFT calculation with PBE was carried out for an optimized crystal structure of TlAsPb2.

abc: 3.8901 3.8901 7.6208
angles: 90.00 90.00 90.00
With the nearest neighbours (Å) after each atom.
Space group P4/mmm (No. 123)
Unique sites:
Tl (0.0000, 0.0000, 0.0000) x1  8 Pb 3.53, 2 As 3.81, 4 Tl 3.89
As (0.0000, 0.0000, 0.5000) x1  8 Pb 3.18
Pb (0.5000, 0.5000, 0.2908) x2  4 As 3.18, 1 Pb 3.19, 4 Tl 3.53

Calculated values
Its energy is -3.563 eV/atom. For the excess energy over the best structure of this formula in the dataset, the calculation gives 0.08 eV per formula unit. The calculation puts the density of states at the Fermi level at 0.585 states/eV/atom. The formation energy is 0.0446 eV per atom.

***

Repeat the second record exactly.
A plane-wave DFT calculation with PBE was carried out for an optimized crystal structure of LaTm2Be.

abc: 3.4272 3.4272 8.9070
angles: 90.00 90.00 90.00
With the nearest neighbours (Å) after each atom.
Space group P4/mmm (No. 123)
Unique sites:
La (0.0000, 0.0000, 0.0000) x1  4 La 3.43, 8 Tm 3.72
Tm (0.5000, 0.5000, 0.3175) x2  4 Be 2.92, 1 Tm 3.25
Be (0.0000, 0.0000, 0.5000) x1  8 Tm 2.92

Calculated values
Its energy is -4.337 eV/atom. For the excess energy over the best structure of this formula in the dataset, the calculation gives 0.00 eV per formula unit. The calculation puts the density of states at the Fermi level at 0.992 states/eV/atom. The formation energy is 0.0620 eV per atom.